A geometry-optimized AlTlGe2I structure, computed with PBE-GGA.

a = 5.553 Å, b = 5.813 Å, c = 5.553 Å
α = 90.00°, β = 90.00°, γ = 90.00°
Sites, in units of the cell vectors:
Al1 0.000 0.500 0.000
Ge1 0.500 0.000 0.000
Tl1 0.500 0.500 0.500
Ge2 0.000 0.000 0.500
I1 0.000 0.000 0.000

* energy above the lowest structure with this stoichiometry: 0 meV/atom
* mass density: 4.66 g cm⁻³
* DOS at the Fermi energy: 3.252 states/eV per cell
* SG: P4/mmm, No. 123